A plane-wave DFT calculation with PBEsol was carried out for a relaxed structure of LiLa2Al.

The structure in CIF format:
```
data_LiLa2Al
_chemical_formula_sum 'Li1 La2 Al1'
_space_group_name_H-M_alt 'P 4 m m'
_space_group_IT_number 99
_cell_length_a 3.468
_cell_length_b 3.468
_cell_length_c 8.433
_cell_angle_alpha 90.00
_cell_angle_beta 90.00
_cell_angle_gamma 90.00
loop_
_space_group_symop_operation_xyz
'x,y,z'
'-y,x,z'
'-x,-y,z'
'y,-x,z'
'-x,y,z'
'y,x,z'
'x,-y,z'
'-y,-x,z'
loop_
_atom_site_label
_atom_site_fract_x
_atom_site_fract_y
_atom_site_fract_z
Li1 0.000 0.000 0.000
La1 0.000 0.000 0.408
La2 0.500 0.500 0.728
Al1 0.500 0.500 0.151
```

The calculation puts the formation energy at -31.1 meV/atom.